Pr2Ho5Th after structural relaxation. Source: Alexandria, functional GGA-PBE.

Unit cell a=6.8097 b=7.2368 c=11.2169 alpha=99.71 beta=90.18 gamma=105.44
Sites, in units of the cell vectors:
1 Pr 0.1036 0.2450 0.3506
2 Pr 0.3507 0.1160 0.6031
3 Pr 0.6493 0.8840 0.3969
4 Pr 0.8964 0.7550 0.6494
5 Ho 0.1082 0.7358 0.3494
6 Ho 0.1435 0.1381 0.8998
7 Ho 0.3571 0.6142 0.6094
8 Ho 0.3908 0.5076 0.1404
9 Ho 0.4007 0.0111 0.1428
10 Ho 0.5993 0.9889 0.8572
11 Ho 0.6092 0.4924 0.8596
12 Ho 0.6429 0.3858 0.3906
13 Ho 0.8565 0.8619 0.1002
14 Ho 0.8918 0.2642 0.6506
15 Th 0.1464 0.6324 0.8975
16 Th 0.8536 0.3676 0.1025

The value obtained for the formation enthalpy at 0 K is 3 kJ/mol of atoms. For the density of states at the Fermi level, the calculation gives 1.66 states/eV per atom. The value obtained for the total moment is 0.0 Bohr magnetons per cell.